An optimized crystal structure of Rh2WAu, computed with GGA-PBE.

For the density of states at the Fermi level, the calculation gives 3.97 states/eV/cell. The calculation puts the energy of formation at 0.12 eV per atom.

Cell lengths 4.0320, 4.0320, 3.7863 Å; angles 90.00, 90.00, 90.00 degrees
With the nearest neighbours (Å) after each atom.
Fractional positions:
Rh (0.0000, 0.5000, 0.0000)  4 Au 2.77, 4 W 2.77, 4 Rh 2.85
Rh (0.5000, 0.0000, 0.0000)  4 Au 2.77, 4 W 2.77, 4 Rh 2.85
W (0.5000, 0.5000, 0.5000)  8 Rh 2.77, 4 Au 2.85
Au (0.0000, 0.0000, 0.5000)  8 Rh 2.77, 4 W 2.85

=====

An optimized crystal structure of TiBO4, computed with GGA-PBE.

For the density of states at the Fermi level, the calculation gives 8.76 states/eV/cell. As for the raw formation energy: -2.159 eV/atom.

Cell lengths 4.4173, 4.4173, 7.8589 Å; angles 90.00, 90.00, 90.00 degrees
With the nearest neighbours (Å) after each atom.
Fractional positions:
O (0.7069, 0.8313, 0.8624)  1 B 1.47
O (0.7069, 0.1687, 0.6376)  1 B 1.47
O (0.2931, 0.1687, 0.8624)  1 B 1.47
O (0.1687, 0.2931, 0.3624)  1 B 1.47
O (0.8313, 0.2931, 0.1376)  1 B 1.47
O (0.1687, 0.7069, 0.1376)  1 B 1.47
O (0.2931, 0.8313, 0.6376)  1 B 1.47
O (0.8313, 0.7069, 0.3624)  1 B 1.47
B (0.5000, 0.0000, 0.7500)  4 O 1.47
B (0.0000, 0.5000, 0.2500)  4 O 1.47
Ti (0.0000, 0.0000, 0.0000)  4 O 1.84
Ti (0.0000, 0.0000, 0.5000)  4 O 1.84

=====

An optimized crystal structure of MnHPd3, computed with GGA-PBE.

For the density of states at the Fermi level, the calculation gives 7.99 states/eV/cell. For the electronic total energy, the calculation gives -5.597 eV/atom.

Cell lengths 4.9462, 7.5224, 7.5454 Å; angles 90.00, 90.00, 90.00 degrees
With the nearest neighbours (Å) after each atom.
Fractional positions:
Pd (0.2311, 0.7500, 0.1829)  1 H 1.75
Pd (0.5309, 0.5737, 0.6603)  1 H 1.87
Pd (0.2689, 0.2500, 0.6829)  1 H 1.75
Pd (0.0309, 0.5737, 0.8397)  1 H 1.87
Pd (0.0309, 0.9263, 0.8397)  1 H 1.87
Pd (0.7689, 0.2500, 0.8171)  1 H 1.75
Pd (0.9691, 0.0737, 0.1603)  1 H 1.87
Pd (0.9691, 0.4263, 0.1603)  1 H 1.87
Pd (0.5309, 0.9263, 0.6603)  1 H 1.87
Pd (0.4691, 0.0737, 0.3397)  1 H 1.87
Pd (0.7311, 0.7500, 0.3171)  1 H 1.75
Pd (0.4691, 0.4263, 0.3397)  1 H 1.87
H (0.9918, 0.7500, 0.0116)  3 Pd 1.75-1.87
H (0.5082, 0.2500, 0.5116)  3 Pd 1.75-1.87
H (0.4918, 0.7500, 0.4884)  3 Pd 1.75-1.87
H (0.0082, 0.2500, 0.9884)  3 Pd 1.75-1.87
Mn (0.0000, 0.0000, 0.5000)  6 Pd 2.63-2.69
Mn (0.5000, 0.5000, 0.0000)  6 Pd 2.63-2.69
Mn (0.0000, 0.5000, 0.5000)  6 Pd 2.63-2.69
Mn (0.5000, 0.0000, 0.0000)  6 Pd 2.63-2.69